P:
VASP calculation (PBE-GGA) on an optimized crystal structure of Cs2RbAuF.

Lattice parameters (Å, degrees): 4.9100 10.0481 9.3286 90.00 90.00 104.14
Positions (direct):
Cs (0.1491, 0.2981, 0.0102)
Cs (0.8509, 0.7019, 0.9898)
Cs (0.1491, 0.2981, 0.4898)
Cs (0.8509, 0.7019, 0.5102)
Rb (0.5097, 0.0193, 0.7500)
Rb (0.4903, 0.9807, 0.2500)
Au (0.6915, 0.3829, 0.7500)
Au (0.3085, 0.6171, 0.2500)
F (0.0000, 0.0000, 0.0000)
F (0.0000, 0.0000, 0.5000)

Output
Symmetry: Cmcm (63)
Size of the total moment: 0.0201 μB/atom

---

Q:
VASP calculation (PBE-GGA) on an optimized crystal structure of Cs2RbAuF.

Lattice parameters (Å, degrees): 5.9555 5.9555 5.6314 90.00 90.00 90.00
Positions (direct):
Cs (0.0000, 0.5000, 0.0000)
Cs (0.5000, 0.0000, 0.0000)
Au (0.5000, 0.5000, 0.5000)
Rb (0.0000, 0.0000, 0.5000)
F (0.0000, 0.0000, 0.0000)

Output
Symmetry: P4/mmm (123)
Size of the total moment: 0.0000 μB/atom

---

Most stable pick: Q. Distance to second place: 0.042 eV/atom.

---

P:
VASP calculation (PBE-GGA) on an optimized crystal structure of Cs2ScAuF6.

Lattice parameters (Å, degrees): 6.4975 6.4975 6.4975 60.00 60.00 60.00
Positions (direct):
Cs (0.7500, 0.7500, 0.7500)
Cs (0.2500, 0.2500, 0.2500)
Sc (0.0000, 0.0000, 0.0000)
Au (0.5000, 0.5000, 0.5000)
F (0.2224, 0.7776, 0.2224)
F (0.7776, 0.2224, 0.2224)
F (0.7776, 0.2224, 0.7776)
F (0.2224, 0.2224, 0.7776)
F (0.7776, 0.7776, 0.2224)
F (0.2224, 0.7776, 0.7776)

Output
Symmetry: Fm-3m (225)
Size of the total moment: 0.0038 μB/atom

---

Q:
VASP calculation (PBE-GGA) on an optimized crystal structure of Cs2ScAuF6.

Lattice parameters (Å, degrees): 7.0521 7.0521 6.5034 57.17 57.17 90.00
Positions (direct):
Cs (0.7500, 0.2500, 0.5000)
Cs (0.2500, 0.7500, 0.5000)
Sc (0.5000, 0.5000, 0.0000)
Au (0.0000, 0.0000, 0.0000)
F (0.2485, 0.2485, 0.5030)
F (0.7515, 0.7515, 0.4970)
F (0.2985, 0.2985, 0.0000)
F (0.7015, 0.7015, 0.0000)
F (0.7015, 0.2985, 0.0000)
F (0.2985, 0.7015, 0.0000)

Output
Symmetry: I4/mmm (139)
Size of the total moment: 0.0000 μB/atom

---

Most stable pick: Q. Distance to second place: 0.034 eV/atom.

---

P:
VASP calculation (PBE-GGA) on an optimized crystal structure of CsFeGeAu.

Lattice parameters (Å, degrees): 4.4438 4.4438 20.3475 90.00 90.00 120.00
Each line ends with the local moment (μB).
Positions (direct):
Cs (0.0000, 0.0000, 0.5270)  0.00
Cs (0.3333, 0.6667, 0.1937)  0.00
Cs (0.6667, 0.3333, 0.8604)  0.00
Ge (0.0000, 0.0000, 0.0496)  -0.01
Ge (0.3333, 0.6667, 0.7162)  -0.01
Ge (0.6667, 0.3333, 0.3829)  -0.01
Au (0.0000, 0.0000, 0.3429)  0.10
Au (0.3333, 0.6667, 0.0096)  0.10
Au (0.6667, 0.3333, 0.6762)  0.10
Fe (0.0000, 0.0000, 0.7002)  2.79
Fe (0.3333, 0.6667, 0.3669)  2.79
Fe (0.6667, 0.3333, 0.0335)  2.79

Output
Symmetry: R3m (160)
Size of the total moment: 0.7408 μB/atom

---

Q:
VASP calculation (PBE-GGA) on an optimized crystal structure of CsFeGeAu.

Lattice parameters (Å, degrees): 4.4324 4.4324 20.3065 90.00 90.00 120.00
Each line ends with the local moment (μB).
Positions (direct):
Cs (0.0000, 0.0000, 0.8633)  0.00
Cs (0.3333, 0.6667, 0.5300)  0.00
Cs (0.6667, 0.3333, 0.1967)  0.00
Ge (0.0000, 0.0000, 0.6723)  0.01
Ge (0.3333, 0.6667, 0.3390)  0.01
Ge (0.6667, 0.3333, 0.0057)  0.01
Au (0.0000, 0.0000, 0.0510)  0.10
Au (0.3333, 0.6667, 0.7176)  0.10
Au (0.6667, 0.3333, 0.3843)  0.10
Fe (0.0000, 0.0000, 0.3664)  2.86
Fe (0.3333, 0.6667, 0.0331)  2.86
Fe (0.6667, 0.3333, 0.6997)  2.86

Output
Symmetry: R3m (160)
Size of the total moment: 0.7655 μB/atom

---

Most stable pick: Q. Distance to second place: 0.013 eV/atom.

---

P:
VASP calculation (PBE-GGA) on an optimized crystal structure of Cs3Ga2Au4.

Lattice parameters (Å, degrees): 4.6491 7.3939 9.7473 107.01 90.00 108.32
Positions (direct):
Cs (0.6010, 0.2020, 0.6874)
Cs (0.0000, 0.0000, 0.0000)
Cs (0.3990, 0.7980, 0.3126)
Ga (0.6692, 0.3384, 0.3055)
Ga (0.3308, 0.6616, 0.6945)
Au (0.7303, 0.4606, 0.0786)
Au (0.2697, 0.5394, 0.9214)
Au (0.8156, 0.6312, 0.5744)
Au (0.1844, 0.3688, 0.4256)

Output
Symmetry: C2/m (12)
Size of the total moment: 0.0000 μB/atom

---

Q:
VASP calculation (PBE-GGA) on an optimized crystal structure of Cs3Ga2Au4.

Lattice parameters (Å, degrees): 4.5266 7.1691 10.3221 98.67 90.00 108.40
Positions (direct):
Cs (0.3892, 0.7785, 0.6087)
Cs (0.0000, 0.0000, 0.0000)
Cs (0.6108, 0.2215, 0.3913)
Ga (0.2902, 0.5804, 0.2028)
Ga (0.7098, 0.4196, 0.7972)
Au (0.7278, 0.4555, 0.0706)
Au (0.1226, 0.2451, 0.6958)
Au (0.8774, 0.7549, 0.3042)
Au (0.2722, 0.5445, 0.9294)

Output
Symmetry: C2/m (12)
Size of the total moment: 0.0000 μB/atom

---

Most stable pick: P. Distance to second place: 0.024 eV/atom.

---

P:
VASP calculation (PBE-GGA) on an optimized crystal structure of Cs3Ga4Au2.

Lattice parameters (Å, degrees): 4.6694 8.5610 10.8459 55.51 102.43 90.00
Positions (direct):
Cs (0.7710, 0.1990, 0.5420)
Cs (0.2290, 0.8010, 0.4580)
Cs (0.0000, 0.0000, 0.0000)
Ga (0.9223, 0.6222, 0.8445)
Ga (0.0777, 0.3778, 0.1555)
Ga (0.4422, 0.4113, 0.8843)
Ga (0.5578, 0.5887, 0.1157)
Au (0.5909, 0.2102, 0.1818)
Au (0.4091, 0.7898, 0.8182)

Output
Symmetry: C2/m (12)
Size of the total moment: 0.0000 μB/atom

---

Q:
VASP calculation (PBE-GGA) on an optimized crystal structure of Cs3Ga4Au2.

Lattice parameters (Å, degrees): 4.5890 7.3067 9.5606 75.05 76.16 71.54
Positions (direct):
Cs (0.6183, 0.1248, 0.6375)
Cs (0.0000, 0.0000, 0.0000)
Cs (0.3817, 0.8752, 0.3625)
Ga (0.2534, 0.4098, 0.0784)
Ga (0.9040, 0.5709, 0.6251)
Ga (0.0960, 0.4291, 0.3749)
Ga (0.7466, 0.5902, 0.9216)
Au (0.6733, 0.4216, 0.2259)
Au (0.3267, 0.5784, 0.7741)

Output
Symmetry: P-1 (2)
Size of the total moment: 0.0000 μB/atom

---

Most stable pick: Q. Distance to second place: 0.008 eV/atom.

---

P:
VASP calculation (PBE-GGA) on an optimized crystal structure of CsGa3Au.

Lattice parameters (Å, degrees): 5.2687 5.2687 5.2687 90.00 90.00 90.00
Positions (direct):
Cs (0.5000, 0.5000, 0.5000)
Au (0.0000, 0.0000, 0.0000)
Ga (0.0000, 0.5000, 0.0000)
Ga (0.0000, 0.0000, 0.5000)
Ga (0.5000, 0.0000, 0.0000)

Output
Symmetry: Pm-3m (221)
Size of the total moment: 0.0000 μB/atom

---

Q:
VASP calculation (PBE-GGA) on an optimized crystal structure of CsGa3Au.

Lattice parameters (Å, degrees): 6.9450 10.0053 9.2167 116.67 90.00 90.00
Positions (direct):
Cs (0.9999, 0.6249, 0.3971)
Cs (0.0001, 0.3751, 0.6029)
Cs (0.4999, 0.8751, 0.1029)
Cs (0.5001, 0.1249, 0.8971)
Ga (0.0000, 0.1512, 0.1229)
Ga (0.0000, 0.8488, 0.8771)
Ga (0.5000, 0.3488, 0.3771)
Ga (0.5000, 0.6512, 0.6229)
Ga (0.4999, 0.8155, 0.4697)
Ga (0.5001, 0.1845, 0.5303)
Ga (0.9999, 0.6845, 0.0303)
Ga (0.0001, 0.3155, 0.9697)
Ga (0.7936, 0.0000, 0.5000)
Ga (0.2064, 0.0000, 0.5000)
Ga (0.2936, 0.5000, 0.0000)
Ga (0.7064, 0.5000, 0.0000)
Au (0.4999, 0.5336, 0.2547)
Au (0.5001, 0.4664, 0.7453)
Au (0.9999, 0.9664, 0.2453)
Au (0.0001, 0.0336, 0.7547)

Output
Symmetry: C2/m (12)
Size of the total moment: 0.0000 μB/atom

---

R:
VASP calculation (PBE-GGA) on an optimized crystal structure of CsGa3Au.

Lattice parameters (Å, degrees): 6.1868 6.1868 6.1868 90.00 90.00 90.00
Positions (direct):
Cs (0.0000, 0.0000, 0.0000)
Au (0.5000, 0.5000, 0.5000)
Ga (0.0000, 0.5000, 0.0000)
Ga (0.0000, 0.0000, 0.5000)
Ga (0.5000, 0.0000, 0.0000)

Output
Symmetry: Pm-3m (221)
Size of the total moment: 0.0000 μB/atom

---

Most stable pick: Q. Distance to second place: 0.232 eV/atom.

---

P:
VASP calculation (PBE-GGA) on an optimized crystal structure of CsNa2GaAu.

Lattice parameters (Å, degrees): 5.9069 5.9069 4.9786 90.00 90.00 90.00
Positions (direct):
Cs (0.5000, 0.5000, 0.5000)
Na (0.0000, 0.5000, 0.0000)
Na (0.5000, 0.0000, 0.0000)
Au (0.0000, 0.0000, 0.5000)
Ga (0.0000, 0.0000, 0.0000)

Output
Symmetry: P4/mmm (123)
Size of the total moment: 0.0000 μB/atom

---

Q:
VASP calculation (PBE-GGA) on an optimized crystal structure of CsNa2GaAu.

Lattice parameters (Å, degrees): 5.9060 5.9060 4.9400 90.00 90.00 90.00
Positions (direct):
Cs (0.5000, 0.5000, 0.5000)
Na (0.0000, 0.5000, 0.0000)
Na (0.5000, 0.0000, 0.0000)
Au (0.0000, 0.0000, 0.0000)
Ga (0.0000, 0.0000, 0.5000)

Output
Symmetry: P4/mmm (123)
Size of the total moment: 0.0000 μB/atom

---

Most stable pick: Q. Distance to second place: 0.054 eV/atom.

---

P:
VASP calculation (PBE-GGA) on an optimized crystal structure of CsGa2SnAu.

Lattice parameters (Å, degrees): 5.1112 6.3510 5.1112 90.00 90.00 90.00
Positions (direct):
Cs (0.0000, 0.5000, 0.0000)
Au (0.0000, 0.0000, 0.0000)
Sn (0.5000, 0.5000, 0.5000)
Ga (0.0000, 0.0000, 0.5000)
Ga (0.5000, 0.0000, 0.0000)

Output
Symmetry: P4/mmm (123)
Size of the total moment: 0.0000 μB/atom

---

Q:
VASP calculation (PBE-GGA) on an optimized crystal structure of CsGa2SnAu.

Lattice parameters (Å, degrees): 5.2038 5.2038 5.8482 90.00 90.00 90.00
Positions (direct):
Cs (0.5000, 0.5000, 0.5000)
Au (0.0000, 0.0000, 0.0000)
Sn (0.0000, 0.0000, 0.5000)
Ga (0.0000, 0.5000, 0.0000)
Ga (0.5000, 0.0000, 0.0000)

Output
Symmetry: P4/mmm (123)
Size of the total moment: 0.0000 μB/atom

---

Most stable pick: Q. Distance to second place: 0.120 eV/atom.

---

P:
VASP calculation (PBE-GGA) on an optimized crystal structure of CsTl2GaAu.

Lattice parameters (Å, degrees): 5.9594 5.9594 5.0243 90.00 90.00 90.00
Positions (direct):
Cs (0.5000, 0.5000, 0.5000)
Tl (0.0000, 0.5000, 0.0000)
Tl (0.5000, 0.0000, 0.0000)
Au (0.0000, 0.0000, 0.0000)
Ga (0.0000, 0.0000, 0.5000)

Output
Symmetry: P4/mmm (123)
Size of the total moment: 0.0000 μB/atom

---

Q:
VASP calculation (PBE-GGA) on an optimized crystal structure of CsTl2GaAu.

Lattice parameters (Å, degrees): 5.8192 5.8192 5.0954 90.00 90.00 90.00
Positions (direct):
Cs (0.5000, 0.5000, 0.5000)
Tl (0.0000, 0.5000, 0.0000)
Tl (0.5000, 0.0000, 0.0000)
Au (0.0000, 0.0000, 0.5000)
Ga (0.0000, 0.0000, 0.0000)

Output
Symmetry: P4/mmm (123)
Size of the total moment: 0.0000 μB/atom

---

Most stable pick: Q. Distance to second place: 0.063 eV/atom.

---

P:
VASP calculation (PBE-GGA) on an optimized crystal structure of CsGe3Au3.

Lattice parameters (Å, degrees): 7.2989 7.2989 7.2989 90.00 90.00 90.00
Positions (direct):
Cs (0.5000, 0.5000, 0.5000)
Cs (0.0000, 0.0000, 0.0000)
Ge (0.0000, 0.2500, 0.5000)
Ge (0.0000, 0.7500, 0.5000)
Ge (0.5000, 0.0000, 0.7500)
Ge (0.7500, 0.5000, 0.0000)
Ge (0.5000, 0.0000, 0.2500)
Ge (0.2500, 0.5000, 0.0000)
Au (0.2500, 0.0000, 0.5000)
Au (0.0000, 0.5000, 0.2500)
Au (0.5000, 0.7500, 0.0000)
Au (0.7500, 0.0000, 0.5000)
Au (0.0000, 0.5000, 0.7500)
Au (0.5000, 0.2500, 0.0000)

Output
Symmetry: Pm-3n (223)
Size of the total moment: 0.0000 μB/atom

---

Q:
VASP calculation (PBE-GGA) on an optimized crystal structure of CsGe3Au3.

Lattice parameters (Å, degrees): 7.4503 7.4503 9.8503 67.78 67.78 60.00
Positions (direct):
Cs (0.3333, 0.3333, 0.0002)
Cs (0.6667, 0.6667, 0.9998)
Ge (0.4304, 0.7810, 0.6836)
Ge (0.7810, 0.1049, 0.6836)
Ge (0.1049, 0.4304, 0.6836)
Ge (0.8951, 0.5696, 0.3164)
Ge (0.2190, 0.8951, 0.3164)
Ge (0.5696, 0.2190, 0.3164)
Au (0.2098, 0.5304, 0.3904)
Au (0.8693, 0.2098, 0.3904)
Au (0.5304, 0.8693, 0.3904)
Au (0.4696, 0.1307, 0.6096)
Au (0.1307, 0.7902, 0.6096)
Au (0.7902, 0.4696, 0.6096)

Output
Symmetry: R-3 (148)
Size of the total moment: 0.0000 μB/atom

---

Most stable pick: P. Distance to second place: 0.029 eV/atom.

---

P:
VASP calculation (PBE-GGA) on an optimized crystal structure of CsGeAu4.

Lattice parameters (Å, degrees): 4.4707 7.9426 9.4279 90.00 103.72 90.00
Positions (direct):
Cs (0.3951, 0.7500, 0.7903)
Cs (0.6049, 0.2500, 0.2097)
Ge (0.0871, 0.7500, 0.1742)
Ge (0.9129, 0.2500, 0.8258)
Au (0.2165, 0.5634, 0.4329)
Au (0.7835, 0.4366, 0.5671)
Au (0.2165, 0.9366, 0.4329)
Au (0.7835, 0.0634, 0.5671)
Au (0.6615, 0.7500, 0.3230)
Au (0.3385, 0.2500, 0.6770)
Au (0.0000, 0.5000, 0.0000)
Au (0.0000, 0.0000, 0.0000)

Output
Symmetry: Cmcm (63)
Size of the total moment: 0.0000 μB/atom

---

Q:
VASP calculation (PBE-GGA) on an optimized crystal structure of CsGeAu4.

Lattice parameters (Å, degrees): 7.2568 6.8240 7.1713 118.41 83.66 90.00
Positions (direct):
Cs (0.8502, 0.7863, 0.5725)
Cs (0.1498, 0.2137, 0.4275)
Ge (0.2920, 0.5401, 0.0801)
Ge (0.7080, 0.4599, 0.9199)
Au (0.3780, 0.7265, 0.4530)
Au (0.3708, 0.1214, 0.8346)
Au (0.0000, 0.2777, 0.0000)
Au (0.6292, 0.2868, 0.1654)
Au (0.6220, 0.2735, 0.5470)
Au (0.6292, 0.8786, 0.1654)
Au (0.0000, 0.7223, 0.0000)
Au (0.3708, 0.7132, 0.8346)

Output
Symmetry: C2/m (12)
Size of the total moment: 0.0000 μB/atom

---

Most stable pick: Q. Distance to second place: 0.015 eV/atom.